Record 1
A relaxed FeOsI2N crystal. Source: Alexandria, functional GGA-PBE.

E above lowest polymorph: 311 meV/atom
ΔE_f (raw): 1.18 eV/atom
space-group type: P4/mmm (123)
DOS(E_F): 2.3 states/eV/f.u.
spin magnetization: 0.00 Bohr magnetons per cell

```
5
Lattice="5.1725 0.0000 0.0000 0.0000 5.1725 0.0000 0.0000 0.0000 3.3761" Properties=species:S:1:pos:R:3 pbc="T T T"
Fe 0.0000 0.0000 0.0000
Os 2.5863 2.5863 1.6881
I 0.0000 2.5863 0.0000
I 2.5863 0.0000 0.0000
N 0.0000 0.0000 1.6881
```

---

Record 2
A relaxed FePIN2 crystal. Source: Alexandria, functional GGA-PBE.

E above lowest polymorph: 0 meV/atom
ΔE_f (raw): 1.22 eV/atom
space-group type: P4/mmm (123)
DOS(E_F): 6.2 states/eV/f.u.
spin magnetization: 2.60 Bohr magnetons per cell

```
5
Lattice="3.5080 0.0000 0.0000 0.0000 3.5080 0.0000 0.0000 0.0000 7.0797" Properties=species:S:1:pos:R:3 pbc="T T T"
Fe 0.0000 0.0000 0.0000
P 1.7540 1.7540 3.5398
I 1.7540 1.7540 0.0000
N 0.0000 1.7540 3.5398
N 1.7540 0.0000 3.5398
```

---

Record 3
A relaxed FePIN2 crystal. Source: Alexandria, functional GGA-PBE.

E above lowest polymorph: 34 meV/atom
ΔE_f (raw): 1.26 eV/atom
space-group type: P4/mmm (123)
DOS(E_F): 3.7 states/eV/f.u.
spin magnetization: 0.00 Bohr magnetons per cell

```
5
Lattice="3.6394 0.0000 0.0000 0.0000 3.6394 0.0000 0.0000 0.0000 6.5246" Properties=species:S:1:pos:R:3 pbc="T T T"
Fe 0.0000 0.0000 0.0000
P 1.8197 1.8197 3.2623
I 0.0000 0.0000 3.2623
N 0.0000 1.8197 0.0000
N 1.8197 0.0000 0.0000
```

---

Record 4
A relaxed FePbIN2 crystal. Source: Alexandria, functional GGA-PBE.

ΔE_f (raw): 1.91 eV/atom
space-group type: P4/mmm (123)
DOS(E_F): 5.7 states/eV/f.u.
spin magnetization: 5.36 Bohr magnetons per cell

```
5
Lattice="4.2990 0.0000 0.0000 0.0000 4.2990 0.0000 0.0000 0.0000 6.8786" Properties=species:S:1:pos:R:3 pbc="T T T"
Fe 0.0000 0.0000 0.0000
Pb 2.1495 2.1495 3.4393
I 2.1495 2.1495 0.0000
N 0.0000 2.1495 3.4393
N 2.1495 0.0000 3.4393
```